# 1
## Au (GGA-PBE)

Data for a relaxed structure of Au.

- DOS(E_F): 1.3 states/eV per cell
- Size of the total moment: 0.00 μB/cell
- Formation energy: 8 kJ/mol of formula units

Unit cell a=7.6132 b=7.6132 c=4.7677 alpha=90.00 beta=90.00 gamma=120.00
Space group P6_3/m (No. 176)
Symmetry-distinct sites (fractional):
Au1 0.0531 0.8047 0.2500 [6 per cell]
Au2 0.0937 0.6175 0.7500 [6 per cell]

# 2
## SrBeAg2 (GGA-PBE)

Data for a relaxed structure of SrBeAg2.

- DOS(E_F): 2.9 states/eV per cell
- Size of the total moment: 0.00 μB/cell
- Formation energy: 10 kJ/mol of formula units

Unit cell a=7.600 b=4.385 c=6.110 alpha=90.00 beta=114.33 gamma=90.00
Space group Cm (No. 8)
Symmetry-distinct sites (fractional):
Sr1 0.000 0.000 0.000 [2 per cell]
Be1 0.308 0.500 0.427 [2 per cell]
Ag1 0.196 0.000 0.589 [2 per cell]
Ag2 0.466 0.000 0.399 [2 per cell]

# 3
## Nb2SnPd8 (GGA-PBE)

Data for a relaxed structure of Nb2SnPd8.

- DOS(E_F): 11.6 states/eV per cell
- Size of the total moment: 0.00 μB/cell
- Formation energy: -216 kJ/mol of formula units

Unit cell a=7.377 b=12.626 c=4.936 alpha=90.00 beta=125.38 gamma=90.00
Space group C2/m (No. 12)
Symmetry-distinct sites (fractional):
Nb1 0.000 0.192 0.000 [4 per cell]
Sn1 0.000 0.500 0.500 [2 per cell]
Pd1 0.000 0.289 0.500 [4 per cell]
Pd2 0.089 0.000 0.315 [4 per cell]
Pd3 0.221 0.379 0.142 [8 per cell]

# 4
## BeCrGa2Pb (GGA-PBE)

Data for a relaxed structure of BeCrGa2Pb.

- DOS(E_F): 3.3 states/eV per cell
- Size of the total moment: 1.13 μB/cell
- Formation energy: 267 kJ/mol of formula units

Unit cell a=4.758 b=4.758 c=4.465 alpha=90.00 beta=90.00 gamma=90.00
Space group P4/mmm (No. 123)
Symmetry-distinct sites (fractional):
Be1 0.000 0.000 0.000 [1 per cell]
Cr1 0.000 0.000 0.500 [1 per cell]
Ga1 0.000 0.500 0.500 [2 per cell]
Pb1 0.500 0.500 0.000 [1 per cell]

Across the entries above, final energy takes the values -3.20 -2.75 -6.17 -4.07 eV per atom, respectively.